Record 1
First-principles (PBE) data for a relaxed structure of CsNpCl6, as listed in OQMD.

Computed properties:
crystal system: trigonal
volume: 285.12 Å³ per cell
uncorrected energy: -4.755 eV/atom
SG: R-3m (166)

Geometry as POSCAR:
```
CsNpCl6
1.0
-0.898 -7.598 0.845
-0.618 -3.647 6.750
-6.385 -3.427 2.596
Cl Np Cs
6 1 1
Cartesian
-6.729 -9.520 8.838
-6.870 -11.503 5.874
-3.925 -3.058 2.232
-1.030 -3.168 4.318
-3.975 -11.614 7.959
-1.171 -5.152 1.353
0.000 0.000 0.000
-3.950 -7.336 5.096
```

***

Record 2
First-principles (PBE) data for a relaxed structure of CsRe2Cl6O2, as listed in OQMD.

Computed properties:
crystal system: monoclinic
volume: 259.75 Å³ per cell
uncorrected energy: -5.367 eV/atom
SG: C2/m (12)

Geometry as POSCAR:
```
CsRe2Cl6O2
1.0
-5.274 3.956 1.682
-5.955 2.733 -1.836
-2.085 -10.111 3.918
Cl Re O Cs
6 2 2 1
Cartesian
-11.351 -1.660 2.772
-1.963 -1.763 0.992
-10.433 1.133 1.624
-3.284 -7.522 3.250
-2.880 -4.556 2.141
-10.030 4.100 0.515
-1.346 -6.349 2.467
-11.968 2.927 1.297
-6.961 -3.003 2.390
-6.353 -0.419 1.374
-5.614 3.344 -0.077
```

***

Record 3
First-principles (PBE) data for a relaxed structure of Cs2ReCl3O3, as listed in OQMD.

Computed properties:
crystal system: orthorhombic
volume: 910.58 Å³ per cell
uncorrected energy: -5.453 eV/atom
SG: Pnma (62)

Geometry as POSCAR:
```
Cs2ReCl3O3
1.0
-1.231 -9.632 4.235
9.215 -4.336 -7.183
4.574 1.577 4.916
O Re Cs Cl
12 4 8 12
Cartesian
2.653 -1.171 0.327
9.138 -5.753 0.602
3.351 -6.886 8.280
9.208 -5.504 -6.311
5.959 -7.593 1.242
8.424 -4.167 2.688
9.905 -11.219 1.642
4.134 -8.223 -0.719
11.032 -4.875 -4.350
6.600 -4.797 0.727
1.526 -7.515 6.319
3.420 -6.637 1.367
8.259 -4.279 0.947
1.518 -1.698 1.551
4.299 -8.111 1.022
11.040 -10.692 0.418
6.846 -7.048 -1.688
4.740 -2.893 -1.063
5.057 0.072 2.530
11.404 -6.079 -1.402
7.501 -12.462 -0.561
5.712 -5.342 3.657
7.818 -9.497 3.031
1.154 -6.311 3.370
11.316 -8.565 1.719
5.174 -10.491 0.972
1.242 -3.825 0.249
3.361 -3.094 2.527
3.174 -5.024 5.917
9.384 -7.366 -3.948
2.121 -9.344 1.203
10.438 -3.046 0.766
9.197 -9.296 -0.558
4.240 -8.613 3.480
8.319 -3.777 -1.511
7.384 -1.899 0.997
```

***

Record 4
First-principles (PBE) data for a relaxed structure of Cs3Re2Cl10O, as listed in OQMD.

Computed properties:
crystal system: tetragonal
volume: 506.99 Å³ per cell
uncorrected energy: -4.469 eV/atom
SG: I4/mmm (139)

Geometry as POSCAR:
```
Cs3Re2Cl10O
1.0
0.000 7.542 0.000
7.542 0.000 0.000
-3.771 -3.771 -8.913
Cl Re Cs O
10 2 3 1
Cartesian
-2.096 2.096 -6.944
1.675 5.867 -1.969
2.096 -2.096 -6.944
1.675 1.675 -1.969
0.000 0.000 -4.250
2.096 2.096 -6.944
-2.096 -2.096 -6.944
3.771 3.771 -4.662
5.867 5.867 -1.969
5.867 1.675 -1.969
3.771 3.771 -7.065
0.000 0.000 -1.848
3.771 3.771 0.000
0.000 3.771 -4.456
3.771 0.000 -4.456
0.000 0.000 0.000
```

***

Record 5
First-principles (PBE) data for a relaxed structure of CsOsCl6, as listed in OQMD.

Computed properties:
distance to the lowest polymorph of the same formula: 0.06 eV per formula unit
crystal system: trigonal
volume: 257.24 Å³ per cell
uncorrected energy: -3.764 eV/atom
SG: R-3m (166)

Geometry as POSCAR:
```
CsOsCl6
1.0
-6.135 -4.108 0.312
-0.309 -6.801 2.874
-3.543 -1.716 6.254
Cs Cl Os
1 6 1
Cartesian
-4.994 -6.313 4.720
-1.027 -4.667 2.327
-7.261 -10.631 5.337
-4.088 -3.251 0.981
-2.726 -1.994 4.104
-5.899 -9.374 8.460
-8.961 -7.959 7.113
0.000 0.000 0.000
```

***

Record 6
First-principles (PBE) data for a relaxed structure of CsOsCl6, as listed in OQMD.

Computed properties:
distance to the lowest polymorph of the same formula: 0.00 eV per formula unit
crystal system: monoclinic
volume: 477.09 Å³ per cell
uncorrected energy: -3.771 eV/atom
SG: Cc (9)

Geometry as POSCAR:
```
CsOsCl6
1.0
6.108 -3.235 0.000
6.108 3.235 0.000
-2.715 0.000 12.073
Cs Os Cl
2 2 12
Cartesian
6.448 0.786 12.066
7.806 -0.786 6.029
4.080 -1.622 9.045
5.437 1.622 3.008
1.103 -0.807 4.272
3.668 0.816 1.739
4.581 0.549 4.880
5.313 0.275 8.543
8.954 -0.283 9.544
4.932 -2.695 7.173
2.310 -0.816 7.775
6.290 2.695 1.136
-0.255 0.807 10.309
6.670 -0.275 2.506
3.223 -0.549 10.916
10.312 0.283 3.507
```

***

Record 7
First-principles (PBE) data for a relaxed structure of Cs2PdPbCl6, as listed in OQMD.

Computed properties:
crystal system: tetragonal
volume: 305.73 Å³ per cell
uncorrected energy: -3.434 eV/atom
SG: I4/m (87)

Geometry as POSCAR:
```
Cs2PdPbCl6
1.0
-2.005 4.509 5.749
0.870 6.118 -4.383
-4.531 -5.665 -2.186
Cs Cl Pb Pd
2 6 1 1
Cartesian
-3.552 2.079 2.123
-2.114 2.883 -2.943
-0.838 7.846 1.008
-3.027 5.117 0.167
-0.297 2.781 0.357
-0.084 5.680 -1.763
-2.640 -0.155 -0.987
-5.582 -0.718 0.943
0.000 0.000 0.000
-0.568 5.313 0.683
```

***

Record 8
First-principles (PBE) data for a relaxed structure of Cs2PdPbCl6, as listed in OQMD.

Computed properties:
crystal system: monoclinic
volume: 303.85 Å³ per cell
uncorrected energy: -3.435 eV/atom
SG: C2/m (12)

Geometry as POSCAR:
```
Cs2PdPbCl6
1.0
6.534 -3.773 0.000
6.534 3.773 0.000
-4.355 0.000 6.162
Pd Cl Pb Cs
1 6 1 2
Cartesian
4.357 0.000 3.081
3.332 1.785 4.541
2.293 0.000 1.629
5.381 -1.785 1.621
5.381 1.785 1.621
6.421 0.000 4.533
3.332 -1.785 4.541
0.000 0.000 0.000
0.003 0.000 4.621
8.710 0.000 1.541
```

***

Record 9
First-principles (PBE) data for a relaxed structure of CsTa6PbCl18, as listed in OQMD.

Computed properties:
crystal system: trigonal
volume: 1317.38 Å³ per cell
uncorrected energy: -5.527 eV/atom
SG: P-31c (163)

Geometry as POSCAR:
```
CsTa6PbCl18
1.0
4.674 -8.095 0.000
4.674 8.095 0.000
0.000 0.000 17.409
Cl Ta Pb Cs
36 12 2 2
Cartesian
5.443 6.269 11.506
5.559 0.430 5.996
2.727 2.079 17.407
3.164 1.323 8.707
5.559 -0.430 14.700
3.152 -4.599 11.413
3.904 6.269 14.607
5.110 4.694 17.406
3.788 0.430 2.709
1.967 0.247 14.607
2.267 3.066 5.996
6.195 -4.599 14.700
4.237 4.694 8.707
5.443 -6.269 2.802
3.788 -0.430 11.413
7.381 0.247 11.506
8.150 -1.580 5.903
6.195 4.599 5.996
8.150 1.580 14.607
1.967 -0.247 5.903
6.620 2.079 8.707
1.197 -1.580 2.802
2.728 -2.079 8.702
7.381 -0.247 2.802
3.152 4.599 2.709
6.620 -2.079 0.002
4.238 -4.694 0.002
1.197 1.580 11.506
5.110 -4.694 8.702
6.184 -1.323 8.702
3.904 -6.269 5.903
2.267 -3.066 14.700
7.081 -3.066 11.413
6.184 1.323 17.406
7.081 3.066 2.709
3.164 -1.323 0.002
5.327 6.533 7.507
4.020 6.533 1.197
4.020 -6.533 9.901
5.327 -6.533 16.212
7.668 -0.215 16.212
1.026 1.347 7.507
1.680 0.215 1.197
8.322 1.347 1.197
8.321 -1.347 9.901
1.679 -0.215 9.902
1.026 -1.347 16.212
7.668 0.215 7.507
4.674 2.698 4.352
4.674 -2.698 13.057
4.674 2.699 13.057
4.674 -2.699 4.352
```

***

Record 10
First-principles (PBE) data for a relaxed structure of Cs2Ta6PbCl18, as listed in OQMD.

Computed properties:
crystal system: trigonal
volume: 695.10 Å³ per cell
uncorrected energy: -5.453 eV/atom
SG: R-3 (148)

Geometry as POSCAR:
```
Cs2Ta6PbCl18
1.0
10.386 -0.008 -0.006
6.003 8.476 -0.006
6.003 3.102 7.888
Cl Ta Cs Pb
18 6 2 1
Cartesian
9.411 8.516 5.057
7.334 8.022 2.558
13.810 8.666 1.351
12.391 5.712 0.703
10.786 2.871 0.309
11.828 3.146 6.070
12.775 8.819 4.454
10.002 5.857 7.174
7.808 5.477 4.563
9.618 2.750 3.423
14.585 6.092 3.314
10.564 8.423 1.807
8.583 2.903 6.526
15.059 3.547 5.318
8.985 5.418 1.304
11.607 8.698 7.568
13.408 6.151 6.573
12.982 3.053 2.820
12.876 4.796 4.567
11.362 7.081 5.515
12.350 7.026 2.788
10.043 4.543 5.088
11.030 4.488 2.362
9.517 6.773 3.310
16.195 8.367 5.696
6.198 3.202 2.180
0.000 0.000 0.000
```

***

Record 11
First-principles (PBE) data for a relaxed structure of Cs2PdCl5, as listed in OQMD.

Computed properties:
crystal system: tetragonal
volume: 267.44 Å³ per cell
uncorrected energy: -3.307 eV/atom
SG: P4/mmm (123)

Geometry as POSCAR:
```
Cs2PdCl5
1.0
-0.741 -2.550 6.717
0.235 -6.757 -2.540
5.097 -0.030 0.551
Cl Cs Pd
5 2 1
Cartesian
0.009 -5.785 -0.400
-0.117 -2.152 0.966
-0.515 -3.523 4.577
2.548 -0.015 0.275
-0.389 -7.156 3.211
2.178 -1.290 3.634
2.666 -3.394 -0.994
0.000 0.000 0.000
```

***

Record 12
First-principles (PBE) data for a relaxed structure of Cs2PdCl4, as listed in OQMD.

Computed properties:
crystal system: tetragonal
volume: 516.65 Å³ per cell
uncorrected energy: -3.442 eV/atom
SG: P4_2/mnm (136)

Geometry as POSCAR:
```
Cs2PdCl4
1.0
-5.756 -1.104 3.914
1.413 -6.904 0.132
5.627 1.317 8.647
Cs Cl Pd
4 8 2
Cartesian
1.342 0.436 8.442
2.114 -3.122 2.228
4.927 -2.464 6.551
-1.471 -0.223 4.119
2.319 -4.702 5.462
-1.035 -1.988 7.231
4.366 1.022 6.709
-3.327 -6.134 3.100
1.903 -3.050 8.284
-1.016 -1.873 0.947
1.261 0.295 1.937
-0.619 -3.640 4.409
0.000 0.000 0.000
0.642 -3.345 6.347
```

***

Record 13
First-principles (PBE) data for a relaxed structure of CsPdCl6, as listed in OQMD.

Computed properties:
crystal system: triclinic
volume: 255.79 Å³ per cell
uncorrected energy: -2.700 eV/atom
SG: P1 (1)

Geometry as POSCAR:
```
CsPdCl6
1.0
-4.397 2.766 1.005
-5.692 -3.820 -2.533
-2.915 -3.828 5.594
Cl Pd Cs
6 1 1
Cartesian
-5.362 -0.667 3.884
-7.871 -3.789 1.717
-7.239 -6.295 3.375
-8.451 -2.839 4.749
-8.298 -1.745 0.252
-4.708 -3.137 3.815
-9.753 -3.660 3.050
-3.249 -1.226 1.018
```

***

Record 14
First-principles (PBE) data for a relaxed structure of CsPd2Cl7, as listed in OQMD.

Computed properties:
crystal system: monoclinic
volume: 548.58 Å³ per cell
uncorrected energy: -3.107 eV/atom
SG: P2_1/m (11)

Geometry as POSCAR:
```
CsPd2Cl7
1.0
6.490 0.000 0.000
0.000 11.694 0.000
-0.475 0.000 7.228
Pd Cl Cs
4 14 2
Cartesian
5.602 4.448 2.609
0.413 10.295 4.620
0.413 7.246 4.620
5.602 1.399 2.609
4.712 11.661 4.251
1.303 5.814 2.977
4.812 5.790 0.911
1.303 0.033 2.977
5.914 8.771 6.196
1.203 11.637 6.317
-0.141 2.924 4.288
2.492 8.771 4.714
0.102 2.924 1.032
4.712 5.880 4.251
3.524 2.924 2.514
6.156 8.771 2.941
4.812 0.057 0.911
1.203 5.904 6.317
3.145 2.924 6.097
2.870 8.771 1.131
```

***

Record 15
First-principles (PBE) data for a relaxed structure of CsRbPdCl4, as listed in OQMD.

Computed properties:
crystal system: orthorhombic
volume: 241.76 Å³ per cell
uncorrected energy: -3.446 eV/atom
SG: Pmmm (47)

Geometry as POSCAR:
```
CsRbPdCl4
1.0
4.440 0.000 0.000
0.000 7.212 0.000
0.000 0.000 7.550
Cl Rb Cs Pd
4 1 1 1
Cartesian
0.000 5.547 2.134
0.000 5.547 5.416
0.000 1.665 2.134
0.000 1.665 5.416
2.220 3.606 3.775
2.220 0.000 0.000
0.000 0.000 3.775
```

***

Record 16
First-principles (PBE) data for a relaxed structure of Cs2SbPdCl6, as listed in OQMD.

Computed properties:
crystal system: cubic
volume: 289.25 Å³ per cell
uncorrected energy: -3.413 eV/atom
SG: Fm-3m (225)

Geometry as POSCAR:
```
Cs2SbPdCl6
1.0
4.027 -4.033 4.756
-3.379 -4.541 4.803
0.499 -7.356 -0.867
Cs Sb Pd Cl
2 1 1 6
Cartesian
0.861 -11.948 6.519
0.287 -3.983 2.173
0.000 0.000 0.000
0.574 -7.965 4.346
0.537 -7.665 1.780
-1.371 -6.280 4.571
2.273 -6.030 4.548
2.519 -9.650 4.121
-1.126 -9.900 4.144
0.611 -8.265 6.911
```

***

Record 17
First-principles (PBE) data for a relaxed structure of Cs2SnPdCl6, as listed in OQMD.

Computed properties:
crystal system: cubic
volume: 289.43 Å³ per cell
uncorrected energy: -3.459 eV/atom
SG: Fm-3m (225)

Geometry as POSCAR:
```
Cs2SnPdCl6
1.0
0.000 5.250 5.250
5.250 0.000 5.250
5.250 5.250 0.000
Cl Sn Pd Cs
6 1 1 2
Cartesian
2.571 5.250 5.250
5.250 2.571 5.250
7.929 5.250 5.250
5.250 5.250 7.929
5.250 7.929 5.250
5.250 5.250 2.571
5.250 5.250 5.250
0.000 0.000 0.000
7.875 7.875 7.875
2.625 2.625 2.625
```